[1]
Entry from the Alexandria database: a geometry-optimized BaZrHg structure (PBE). Values from VASP.

The structure in Quantum ESPRESSO input format:
```
&SYSTEM
  ibrav = 0, nat = 6, ntyp = 3
/
ATOMIC_SPECIES
Hg 200.59 Hg.upf
Ba 137.33 Ba.upf
Zr 91.22 Zr.upf
CELL_PARAMETERS angstrom
4.144 0.000 0.000
-0.001 10.604 0.000
0.000 0.000 4.589
ATOMIC_POSITIONS crystal
Hg 0.186 0.995 0.957
Hg 0.686 0.404 0.457
Ba 0.186 0.543 0.956
Ba 0.686 0.856 0.456
Zr 0.686 0.231 0.957
Zr 0.186 0.168 0.457
```

Calculated values
The magnetic moment is 0.0 μB per formula unit. The value obtained for the final energy is -3.63 eV/atom. Its density of states at the Fermi level is 1.352 states/eV per atom.

***

[2]
Entry from the Alexandria database: a geometry-optimized CoSb3I structure (PBE). Values from VASP.

The structure in Quantum ESPRESSO input format:
```
&SYSTEM
  ibrav = 0, nat = 5, ntyp = 3
/
ATOMIC_SPECIES
I 126.90 I.upf
Sb 121.76 Sb.upf
Co 58.93 Co.upf
CELL_PARAMETERS angstrom
-1.109 4.313 2.427
0.719 -2.321 4.452
4.896 1.318 -0.104
ATOMIC_POSITIONS crystal
I 0.500 0.500 0.500
Sb 0.500 0.000 0.000
Sb 0.000 0.500 0.000
Sb 0.000 0.000 0.500
Co 0.000 0.000 0.000
```

Calculated values
The magnetic moment is 0.0 μB per formula unit. The value obtained for the final energy is -3.86 eV/atom. Its density of states at the Fermi level is 1.505 states/eV per atom. The energy relative to the elements, uncorrected comes out at 343 meV per atom.

***

[3]
Entry from the Alexandria database: a geometry-optimized Rb2Tl9Pd3 structure (PBE). Values from VASP.

The structure in Quantum ESPRESSO input format:
```
&SYSTEM
  ibrav = 0, nat = 28, ntyp = 3
/
ATOMIC_SPECIES
Tl 204.38 Tl.upf
Rb 85.47 Rb.upf
Pd 106.42 Pd.upf
CELL_PARAMETERS angstrom
-5.165 7.252 -0.849
-0.858 -6.977 -5.529
-3.836 -7.032 9.358
ATOMIC_POSITIONS crystal
Tl 0.897 0.147 0.750
Tl 0.880 0.858 0.569
Tl 0.536 0.190 0.545
Tl 0.436 0.632 0.924
Tl 0.103 0.853 0.250
Tl 0.446 0.918 0.745
Tl 0.554 0.082 0.255
Tl 0.144 0.990 0.955
Tl 0.792 0.488 0.424
Tl 0.564 0.368 0.076
Tl 0.120 0.142 0.431
Tl 0.327 0.299 0.245
Tl 0.211 0.689 0.069
Tl 0.789 0.311 0.931
Tl 0.464 0.810 0.455
Tl 0.856 0.010 0.045
Tl 0.673 0.701 0.755
Tl 0.208 0.512 0.576
Rb 0.659 0.755 0.248
Rb 0.993 0.589 0.748
Rb 0.341 0.245 0.752
Rb 0.007 0.411 0.252
Pd 0.832 0.665 0.999
Pd 0.165 0.833 0.501
Pd 0.500 0.500 0.500
Pd 0.168 0.335 0.001
Pd 0.500 0.000 0.000
Pd 0.835 0.167 0.499
```

Calculated values
The magnetic moment is 0.0 μB per formula unit. The value obtained for the final energy is -2.86 eV/atom. Its density of states at the Fermi level is 0.509 states/eV per atom.

***

[4]
Entry from the Alexandria database: a geometry-optimized Mg2MoPt structure (PBE). Values from VASP.

The structure in Quantum ESPRESSO input format:
```
&SYSTEM
  ibrav = 0, nat = 4, ntyp = 3
/
ATOMIC_SPECIES
Mo 95.94 Mo.upf
Pt 195.08 Pt.upf
Mg 24.30 Mg.upf
CELL_PARAMETERS angstrom
5.298 -0.005 -0.018
-2.438 4.797 0.008
0.421 0.777 2.617
ATOMIC_POSITIONS crystal
Mo 0.000 0.500 0.500
Pt 0.500 0.500 0.000
Mg 0.500 0.000 0.500
Mg 0.000 0.000 0.000
```

Calculated values
The magnetic moment is 0.0 μB per formula unit. The value obtained for the final energy is -5.08 eV/atom. Its density of states at the Fermi level is 0.783 states/eV per atom.

***

[5]
Entry from the Alexandria database: a geometry-optimized ZrVHRh2 structure (PBE). Values from VASP.

The structure in Quantum ESPRESSO input format:
```
&SYSTEM
  ibrav = 0, nat = 5, ntyp = 4
/
ATOMIC_SPECIES
Zr 91.22 Zr.upf
Rh 102.91 Rh.upf
V 50.94 V.upf
H 1.01 H.upf
CELL_PARAMETERS angstrom
-2.462 2.083 -2.449
-3.169 -2.097 1.402
-0.536 2.712 2.845
ATOMIC_POSITIONS crystal
Zr 0.500 0.500 0.500
Rh 0.000 0.500 0.000
Rh 0.500 0.000 0.000
V 0.000 0.000 0.500
H 0.000 0.000 0.000
```

Calculated values
The magnetic moment is 1.3 μB per formula unit. The value obtained for the final energy is -7.53 eV/atom. Its density of states at the Fermi level is 0.876 states/eV per atom.

***

[6]
Entry from the Alexandria database: a geometry-optimized YCoCuSi2 structure (PBE). Values from VASP.

The structure in Quantum ESPRESSO input format:
```
&SYSTEM
  ibrav = 0, nat = 5, ntyp = 4
/
ATOMIC_SPECIES
Y 88.91 Y.upf
Co 58.93 Co.upf
Cu 63.55 Cu.upf
Si 28.09 Si.upf
CELL_PARAMETERS angstrom
3.973 0.000 0.000
0.000 3.973 0.000
-1.986 -1.986 4.856
ATOMIC_POSITIONS crystal
Y 0.000 0.000 0.000
Co 0.750 0.250 0.500
Cu 0.250 0.750 0.500
Si 0.624 0.624 0.248
Si 0.376 0.376 0.752
```

Calculated values
The magnetic moment is 0.3 μB per formula unit. The value obtained for the final energy is -6.36 eV/atom. Its density of states at the Fermi level is 0.525 states/eV per atom. The energy relative to the elements, uncorrected comes out at -655 meV per atom.

***

[7]
Entry from the Alexandria database: a geometry-optimized Sc4Al16Pt3 structure (PBE). Values from VASP.

The structure in Quantum ESPRESSO input format:
```
&SYSTEM
  ibrav = 0, nat = 23, ntyp = 3
/
ATOMIC_SPECIES
Al 26.98 Al.upf
Pt 195.08 Pt.upf
Sc 44.96 Sc.upf
CELL_PARAMETERS angstrom
6.072 0.000 0.000
0.000 6.072 0.000
0.000 0.000 10.951
ATOMIC_POSITIONS crystal
Al 0.000 0.000 0.775
Al 0.286 0.286 0.000
Al 0.255 0.745 0.372
Al 0.745 0.255 0.372
Al 0.255 0.255 0.628
Al 0.745 0.745 0.372
Al 0.500 0.500 0.196
Al 0.500 0.500 0.804
Al 0.286 0.714 0.000
Al 0.255 0.745 0.628
Al 0.000 0.000 0.225
Al 0.745 0.745 0.628
Al 0.745 0.255 0.628
Al 0.714 0.286 0.000
Al 0.714 0.714 0.000
Al 0.255 0.255 0.372
Pt 0.000 0.000 0.000
Pt 0.500 0.000 0.500
Pt 0.000 0.500 0.500
Sc 0.000 0.500 0.189
Sc 0.500 0.000 0.189
Sc 0.000 0.500 0.811
Sc 0.500 0.000 0.811
```

Calculated values
The magnetic moment is 0.0 μB per formula unit. The value obtained for the final energy is -5.11 eV/atom. Its density of states at the Fermi level is 0.227 states/eV per atom.

***

[8]
Entry from the Alexandria database: a geometry-optimized Sm4Ti6O19 structure (PBE). Values from VASP.

The structure in Quantum ESPRESSO input format:
```
&SYSTEM
  ibrav = 0, nat = 29, ntyp = 3
/
ATOMIC_SPECIES
O 16.00 O.upf
Sm 150.36 Sm.upf
Ti 47.87 Ti.upf
CELL_PARAMETERS angstrom
0.478 6.959 -3.082
4.598 -4.772 -3.773
-7.190 -2.498 -0.465
ATOMIC_POSITIONS crystal
O 0.602 0.268 0.236
O 0.032 0.366 0.764
O 0.351 0.351 0.000
O 0.649 0.000 0.649
O 0.732 0.334 0.968
O 0.366 0.764 0.032
O 0.634 0.666 0.398
O 0.968 0.732 0.334
O 0.398 0.634 0.666
O 0.666 0.398 0.634
O 0.351 0.000 0.351
O 0.000 0.000 0.000
O 0.268 0.236 0.602
O 0.649 0.649 0.000
O 0.764 0.032 0.366
O 0.334 0.968 0.732
O 0.236 0.602 0.268
O 0.000 0.351 0.351
O 0.000 0.649 0.649
Sm 0.000 0.679 0.000
Sm 0.679 0.000 0.000
Sm 0.000 0.000 0.679
Sm 0.321 0.321 0.321
Ti 0.832 0.332 0.500
Ti 0.168 0.668 0.500
Ti 0.500 0.168 0.668
Ti 0.332 0.500 0.832
Ti 0.500 0.832 0.332
Ti 0.668 0.500 0.168
```

Calculated values
The magnetic moment is 1.5 μB per formula unit. The value obtained for the final energy is -8.52 eV/atom. Its density of states at the Fermi level is 0.767 states/eV per atom. The energy relative to the elements, uncorrected comes out at -2989 meV per atom.

***

[9]
Entry from the Alexandria database: a geometry-optimized Bi2SN structure (PBE). Values from VASP.

The structure in Quantum ESPRESSO input format:
```
&SYSTEM
  ibrav = 0, nat = 4, ntyp = 3
/
ATOMIC_SPECIES
N 14.01 N.upf
S 32.06 S.upf
Bi 208.98 Bi.upf
CELL_PARAMETERS angstrom
-0.819 -4.711 -0.528
-1.731 -2.568 3.681
-4.515 -1.657 -0.135
ATOMIC_POSITIONS crystal
N 0.000 0.000 0.000
S 0.500 0.500 0.500
Bi 0.250 0.250 0.250
Bi 0.750 0.750 0.750
```

Calculated values
The magnetic moment is 0.0 μB per formula unit. The value obtained for the final energy is -4.26 eV/atom. Its density of states at the Fermi level is 0.321 states/eV per atom. The energy relative to the elements, uncorrected comes out at 797 meV per atom.

***

[10]
Entry from the Alexandria database: a geometry-optimized BiP2SO structure (PBE). Values from VASP.

The structure in Quantum ESPRESSO input format:
```
&SYSTEM
  ibrav = 0, nat = 5, ntyp = 4
/
ATOMIC_SPECIES
S 32.06 S.upf
O 16.00 O.upf
Bi 208.98 Bi.upf
P 30.97 P.upf
CELL_PARAMETERS angstrom
5.306 0.000 0.000
0.000 5.306 0.000
0.000 0.000 4.145
ATOMIC_POSITIONS crystal
S 0.500 0.500 0.500
O 0.000 0.000 0.500
Bi 0.000 0.000 0.000
P 0.000 0.500 0.000
P 0.500 0.000 0.000
```

Calculated values
The magnetic moment is 0.9 μB per formula unit. The value obtained for the final energy is -3.74 eV/atom. Its density of states at the Fermi level is 0.622 states/eV per atom. The energy relative to the elements, uncorrected comes out at 1020 meV per atom.

***

magnetic moment of number 3 (Rb2Tl9Pd3)? 0.0 μB per formula unit